(1)
{
  "formula": "InSi2Cl",
  "functional": "GGA-PBE",
  "state": "relaxed",
  "lattice_angstrom": [[12.3387, 0.0000, 0.0000], [0.0000, 3.0526, 0.0000], [-1.8664, 0.0000, 4.4399]],
  "species": ["In", "In", "Si", "Si", "Si", "Si", "Cl", "Cl"],
  "fractional_positions": [[0.0000, 0.0000, 0.0000], [0.5000, 0.5000, 0.0000], [0.2250, 0.5000, 0.2243], [0.2750, 0.0000, 0.7757], [0.7250, 0.0000, 0.2243], [0.7750, 0.5000, 0.7757], [0.0000, 0.5000, 0.5000], [0.5000, 0.0000, 0.5000]],
  "e_tot_ev_per_atom": -3.570,
  "dos_at_fermi_per_ev_atom": 0.31,
  "relative_energy_mev_per_atom": 357,
  "sg": "C2/m",
  "raw_formation_energy_mev_per_atom": 287
}

=====

(2)
{
  "formula": "InSi2Cl8",
  "functional": "GGA-PBE",
  "state": "relaxed",
  "lattice_angstrom": [[6.3788, -4.9225, 0.0000], [6.3788, 4.9225, 0.0000], [-4.3357, 0.0000, 6.6322]],
  "species": ["In", "Si", "Si", "Cl", "Cl", "Cl", "Cl", "Cl", "Cl", "Cl", "Cl"],
  "fractional_positions": [[0.0000, 0.0000, 0.0000], [0.3966, 0.3966, 0.4602], [0.6034, 0.6034, 0.5398], [0.0020, 0.0020, 0.6874], [0.1357, 0.4747, 0.2938], [0.3989, 0.3989, 0.7201], [0.4747, 0.1357, 0.2938], [0.5253, 0.8643, 0.7062], [0.6011, 0.6011, 0.2799], [0.8643, 0.5253, 0.7062], [0.9980, 0.9980, 0.3126]],
  "e_tot_ev_per_atom": -3.539,
  "dos_at_fermi_per_ev_atom": 0.09,
  "sg": "C2/m",
  "raw_formation_energy_mev_per_atom": -961
}

=====

(3)
{
  "formula": "InSiCl2",
  "functional": "GGA-PBE",
  "state": "relaxed",
  "lattice_angstrom": [[3.3375, 0.0000, 0.0000], [0.0000, 3.8093, 0.0000], [-0.0059, 0.0000, 7.8723]],
  "species": ["In", "Si", "Cl", "Cl"],
  "fractional_positions": [[0.0000, 0.0000, 0.0000], [0.5000, 0.0000, 0.5000], [0.4985, 0.5000, 0.2687], [0.5015, 0.5000, 0.7313]],
  "e_tot_ev_per_atom": -3.209,
  "dos_at_fermi_per_ev_atom": 0.29,
  "relative_energy_mev_per_atom": 192,
  "sg": "P2/m",
  "raw_formation_energy_mev_per_atom": -245
}

=====

(4)
{
  "formula": "InSiCl2",
  "functional": "GGA-PBE",
  "state": "relaxed",
  "lattice_angstrom": [[3.4441, 0.0000, 0.0000], [0.0000, 4.5016, 0.0000], [0.0000, 0.0000, 5.8654]],
  "species": ["In", "Si", "Cl", "Cl"],
  "fractional_positions": [[0.0000, 0.0000, 0.0000], [0.5000, 0.0000, 0.5000], [0.0000, 0.5000, 0.5000], [0.5000, 0.5000, 0.0000]],
  "e_tot_ev_per_atom": -3.062,
  "dos_at_fermi_per_ev_atom": 0.42,
  "relative_energy_mev_per_atom": 339,
  "sg": "Pmmm",
  "raw_formation_energy_mev_per_atom": -98
}

=====

(5)
{
  "formula": "InSiCl2",
  "functional": "GGA-PBE",
  "state": "relaxed",
  "lattice_angstrom": [[3.6525, 0.0000, 0.0000], [-1.8262, 3.1631, 0.0000], [0.0000, 0.0000, 27.2282]],
  "species": ["In", "In", "In", "Si", "Si", "Si", "Cl", "Cl", "Cl", "Cl", "Cl", "Cl"],
  "fractional_positions": [[0.0000, 0.0000, 0.0000], [0.3333, 0.6667, 0.6667], [0.6667, 0.3333, 0.3333], [0.0000, 0.0000, 0.7436], [0.3333, 0.6667, 0.4103], [0.6667, 0.3333, 0.0769], [0.0000, 0.0000, 0.2668], [0.0000, 0.0000, 0.4697], [0.3333, 0.6667, 0.1364], [0.3333, 0.6667, 0.9334], [0.6667, 0.3333, 0.6001], [0.6667, 0.3333, 0.8030]],
  "e_tot_ev_per_atom": -3.129,
  "dos_at_fermi_per_ev_atom": 0.78,
  "relative_energy_mev_per_atom": 272,
  "sg": "R3m",
  "raw_formation_energy_mev_per_atom": -165
}

=====

(6)
{
  "formula": "In2SiCl",
  "functional": "GGA-PBE",
  "state": "relaxed",
  "lattice_angstrom": [[3.6277, 0.0000, 0.0000], [-1.8138, 3.1417, 0.0000], [0.0000, 0.0000, 27.8487]],
  "species": ["In", "In", "In", "In", "In", "In", "Si", "Si", "Si", "Cl", "Cl", "Cl"],
  "fractional_positions": [[0.0000, 0.0000, 0.0000], [0.0000, 0.0000, 0.2431], [0.3333, 0.6667, 0.6667], [0.3333, 0.6667, 0.9098], [0.6667, 0.3333, 0.3333], [0.6667, 0.3333, 0.5765], [0.0000, 0.0000, 0.5103], [0.3333, 0.6667, 0.1769], [0.6667, 0.3333, 0.8436], [0.0000, 0.0000, 0.7324], [0.3333, 0.6667, 0.3991], [0.6667, 0.3333, 0.0658]],
  "e_tot_ev_per_atom": -3.081,
  "dos_at_fermi_per_ev_atom": 0.57,
  "relative_energy_mev_per_atom": 246,
  "sg": "R3m",
  "raw_formation_energy_mev_per_atom": 105
}